# 1
The following is a DFT calculation (PBE) of crystalline PrNdIrRh at its relaxed geometry.

The structure in CIF format:
```
data_PrNdIrRh
_chemical_formula_sum 'Pr1 Nd1 Ir1 Rh1'
_space_group_name_H-M_alt 'P 1'
_space_group_IT_number 1
_cell_length_a 5.0328
_cell_length_b 5.0328
_cell_length_c 5.0328
_cell_angle_alpha 60.00
_cell_angle_beta 60.00
_cell_angle_gamma 60.00
loop_
_space_group_symop_operation_xyz
'x,y,z'
loop_
_atom_site_label
_atom_site_fract_x
_atom_site_fract_y
_atom_site_fract_z
Pr1 0.7500 0.7500 0.7500
Rh1 0.5000 0.5000 0.5000
Ir1 0.0000 0.0000 0.0000
Nd1 0.2500 0.2500 0.2500
```

Electronic total energy   -7.0308 eV per atom
Relative energy among the computed polymorphs   0.045 eV/atom

=====

# 2
The following is a DFT calculation (PBE) of crystalline CaTc2Mo at its relaxed geometry.

The structure in CIF format:
```
data_CaTc2Mo
_chemical_formula_sum 'Ca1 Tc2 Mo1'
_space_group_name_H-M_alt 'P 1'
_space_group_IT_number 1
_cell_length_a 5.2030
_cell_length_b 5.2030
_cell_length_c 5.1345
_cell_angle_alpha 72.97
_cell_angle_beta 72.97
_cell_angle_gamma 34.88
loop_
_space_group_symop_operation_xyz
'x,y,z'
loop_
_atom_site_label
_atom_site_fract_x
_atom_site_fract_y
_atom_site_fract_z
Mo1 0.2860 0.2860 0.1620
Ca1 0.4973 0.4973 0.5038
Tc1 0.9993 0.9993 0.9982
Tc2 0.7174 0.7174 0.8360
```

Electronic total energy   -7.9115 eV per atom
Relative energy among the computed polymorphs   0.156 eV/atom

=====

# 3
The following is a DFT calculation (PBE) of crystalline P3H12F at its relaxed geometry.

The structure in CIF format:
```
data_P3H12F
_chemical_formula_sum 'P6 H24 F2'
_space_group_name_H-M_alt 'P 1'
_space_group_IT_number 1
_cell_length_a 8.5694
_cell_length_b 8.5694
_cell_length_c 8.6976
_cell_angle_alpha 60.49
_cell_angle_beta 60.49
_cell_angle_gamma 60.00
loop_
_space_group_symop_operation_xyz
'x,y,z'
loop_
_atom_site_label
_atom_site_fract_x
_atom_site_fract_y
_atom_site_fract_z
P1 0.6678 0.3636 0.9899
P2 0.1678 0.4787 0.4899
P3 0.8636 0.1678 0.4899
P4 0.3636 0.9787 0.9899
P5 0.9787 0.6678 0.9899
P6 0.4787 0.8636 0.4899
H1 0.2136 0.0181 0.9262
H2 0.0787 0.5068 0.6661
H3 0.8859 0.0600 0.3934
H4 0.6603 0.5983 0.0131
H5 0.1603 0.2284 0.5131
H6 0.3859 0.1608 0.8934
H7 0.5787 0.2484 0.1661
H8 0.0600 0.6608 0.3934
H9 0.7136 0.3421 0.4262
H10 0.7484 0.0787 0.6661
H11 0.0983 0.1603 0.5131
H12 0.3421 0.5181 0.4262
H13 0.1608 0.5600 0.8934
H14 0.8421 0.2136 0.9262
H15 0.5983 0.7284 0.0131
H16 0.2484 0.0068 0.1661
H17 0.0068 0.5787 0.1661
H18 0.5600 0.3859 0.8934
H19 0.5181 0.7136 0.4262
H20 0.7284 0.6603 0.0131
H21 0.2284 0.0983 0.5131
H22 0.0181 0.8421 0.9262
H23 0.5068 0.7484 0.6661
H24 0.6608 0.8859 0.3934
F1 0.0511 0.0511 0.8466
F2 0.5511 0.5511 0.3466
```

Electronic total energy   -3.7244 eV per atom